(1)
Entry from Alexandria: crystalline AlRe2Si at its relaxed geometry (PBE).

a b c (Å): 2.723 2.723 8.443
angles (deg): 90.00 90.00 109.44
Element x y z (fractional)
Al 0.000 0.000 0.000
Re 0.000 0.000 0.506
Re 0.500 0.500 0.249
Si 0.500 0.500 0.741

- Formation energy from raw total energies: 219 meV/atom
- Relative energy among the computed polymorphs: 488.4 meV per atom
- Space-group type: Cmm2 (35)

=====

(2)
Entry from Alexandria: crystalline AcTb5Ho3 at its relaxed geometry (PBE).

a b c (Å): 9.056 9.056 9.046
angles (deg): 113.97 113.97 65.51
Element x y z (fractional)
Ac 0.069 0.931 0.750
Ac 0.931 0.069 0.250
Tb 0.099 0.260 0.102
Tb 0.246 0.431 0.928
Tb 0.260 0.099 0.602
Tb 0.419 0.581 0.750
Tb 0.431 0.246 0.428
Tb 0.569 0.754 0.572
Tb 0.581 0.419 0.250
Tb 0.740 0.901 0.398
Tb 0.754 0.569 0.072
Tb 0.901 0.740 0.898
Ho 0.000 0.500 0.500
Ho 0.175 0.655 0.334
Ho 0.345 0.825 0.166
Ho 0.500 0.000 0.000
Ho 0.655 0.175 0.834
Ho 0.825 0.345 0.666

- Relative energy among the computed polymorphs: 0.0 meV per atom
- Formation energy from the elements: 91 meV per atom
- Space-group type: C2/c (15)

=====

(3)
Entry from Alexandria: crystalline SnBiIrW2 at its relaxed geometry (PBE).

a b c (Å): 4.950 4.950 4.962
angles (deg): 90.00 90.00 90.00
Element x y z (fractional)
Sn 0.000 0.000 0.000
Bi 0.500 0.500 0.000
Ir 0.000 0.000 0.500
W 0.000 0.500 0.500
W 0.500 0.000 0.500

- Formation energy from the elements: 1413 meV per atom
- Space-group type: P4/mmm (123)

=====

(4)
Entry from Alexandria: crystalline LiAgBi at its relaxed geometry (PBE).

a b c (Å): 5.163 5.163 5.163
angles (deg): 135.96 135.96 64.04
Element x y z (fractional)
Li 0.000 0.000 0.000
Ag 0.663 0.663 0.000
Bi 0.328 0.328 0.000

- Relative energy among the computed polymorphs: 41.3 meV per atom
- Formation energy from the elements: -191 meV per atom
- Space-group type: I4mm (107)

=====

(5)
Entry from Alexandria: crystalline ScAlRh at its relaxed geometry (PBE).

a b c (Å): 5.155 5.155 5.155
angles (deg): 118.82 115.17 95.32
Element x y z (fractional)
Sc 0.385 0.135 0.250
Sc 0.615 0.865 0.750
Al 0.000 0.000 0.500
Al 0.000 0.500 0.000
Rh 0.000 0.500 0.500
Rh 0.500 0.500 0.000

- Formation energy from the elements: -885 meV per atom
- Space-group type: Imma (74)

=====

(6)
Entry from Alexandria: crystalline Na12Cd6Ir at its relaxed geometry (PBE).

a b c (Å): 8.042 8.042 8.042
angles (deg): 87.85 87.85 87.85
Element x y z (fractional)
Na 0.025 0.309 0.932
Na 0.068 0.975 0.691
Na 0.134 0.357 0.466
Na 0.309 0.932 0.025
Na 0.357 0.466 0.134
Na 0.466 0.134 0.357
Na 0.534 0.866 0.643
Na 0.643 0.534 0.866
Na 0.691 0.068 0.975
Na 0.866 0.643 0.534
Na 0.932 0.025 0.309
Na 0.975 0.691 0.068
Cd 0.253 0.746 0.398
Cd 0.254 0.602 0.747
Cd 0.398 0.253 0.746
Cd 0.602 0.747 0.254
Cd 0.746 0.398 0.253
Cd 0.747 0.254 0.602
Ir 0.500 0.500 0.500

- Formation energy from the elements: -28 meV per atom
- Space-group type: R-3 (148)

=====

(7)
Entry from Alexandria: crystalline Ho3Ga2Pt6 at its relaxed geometry (PBE).

a b c (Å): 8.242 8.242 8.242
angles (deg): 109.47 109.47 109.47
Element x y z (fractional)
Ho 0.000 0.302 0.302
Ho 0.000 0.698 0.698
Ho 0.302 0.000 0.302
Ho 0.302 0.302 0.000
Ho 0.698 0.000 0.698
Ho 0.698 0.698 0.000
Ga 0.000 0.000 0.500
Ga 0.000 0.500 0.000
Ga 0.500 0.000 0.000
Ga 0.500 0.500 0.500
Pt 0.000 0.323 0.677
Pt 0.000 0.677 0.323
Pt 0.323 0.000 0.677
Pt 0.323 0.323 0.645
Pt 0.323 0.645 0.323
Pt 0.323 0.677 0.000
Pt 0.355 0.677 0.677
Pt 0.645 0.323 0.323
Pt 0.677 0.000 0.323
Pt 0.677 0.323 0.000
Pt 0.677 0.355 0.677
Pt 0.677 0.677 0.355

- Formation energy from the elements: -1030 meV per atom
- Space-group type: Im-3m (229)

=====

(8)
Entry from Alexandria: crystalline Li12In3Hg at its relaxed geometry (PBE).

a b c (Å): 4.143 4.143 17.324
angles (deg): 90.00 90.00 90.00
Element x y z (fractional)
Li 0.000 0.000 0.000
Li 0.000 0.000 0.244
Li 0.000 0.000 0.500
Li 0.000 0.000 0.756
Li 0.000 0.500 0.119
Li 0.000 0.500 0.371
Li 0.000 0.500 0.629
Li 0.000 0.500 0.881
Li 0.500 0.000 0.119
Li 0.500 0.000 0.371
Li 0.500 0.000 0.629
Li 0.500 0.000 0.881
In 0.500 0.500 0.245
In 0.500 0.500 0.500
In 0.500 0.500 0.755
Hg 0.500 0.500 0.000

- Formation energy from the elements: -213 meV per atom
- Space-group type: P4/mmm (123)

=====

(9)
Entry from Alexandria: crystalline Al2ZnHg2 at its relaxed geometry (PBE).

a b c (Å): 6.818 6.818 4.451
angles (deg): 90.00 90.00 90.00
Element x y z (fractional)
Al 0.140 0.360 0.000
Al 0.360 0.860 0.000
Al 0.640 0.140 0.000
Al 0.860 0.640 0.000
Zn 0.000 0.000 0.000
Zn 0.500 0.500 0.000
Hg 0.177 0.677 0.500
Hg 0.323 0.177 0.500
Hg 0.677 0.823 0.500
Hg 0.823 0.323 0.500

- Relative energy among the computed polymorphs: 0.0 meV per atom
- Formation energy from the elements: 158 meV per atom
- Space-group type: P4/mbm (127)

=====

(10)
Entry from Alexandria: crystalline CdHPd2Ru at its relaxed geometry (PBE).

a b c (Å): 4.091 4.091 3.971
angles (deg): 90.00 90.00 90.00
Element x y z (fractional)
Cd 0.000 0.000 0.000
H 0.500 0.500 0.500
Pd 0.000 0.500 0.500
Pd 0.500 0.000 0.500
Ru 0.500 0.500 0.000

- DFT total energy: -4.722 eV per atom
- Space-group type: P4/mmm (123)

=====

(11)
Entry from Alexandria: crystalline LiPaI6 at its relaxed geometry (PBE).

a b c (Å): 8.153 8.153 8.153
angles (deg): 55.81 55.81 55.81
Element x y z (fractional)
Li 0.000 0.000 0.000
Pa 0.500 0.500 0.500
I 0.110 0.741 0.400
I 0.259 0.600 0.890
I 0.400 0.110 0.741
I 0.600 0.890 0.259
I 0.741 0.400 0.110
I 0.890 0.259 0.600

- Formation energy from raw total energies: -972 meV/atom
- Relative energy among the computed polymorphs: 0.0 meV per atom
- Space-group type: R-3 (148)

=====

(12)
Entry from Alexandria: crystalline TaBeW at its relaxed geometry (PBE).

a b c (Å): 5.028 5.028 5.028
angles (deg): 147.63 139.10 53.10
Element x y z (fractional)
Ta 0.000 0.000 0.000
Be 0.330 0.330 0.000
W 0.691 0.691 0.000

- Relative energy among the computed polymorphs: 371.9 meV per atom
- Formation energy from the elements: 216 meV per atom
- Space-group type: Imm2 (44)